# Sr2AlRu

A relaxed Sr2AlRu crystal (PBE-GGA, the Alexandria database).

E_form = 0.365 eV per atom
Density = 4.74 Mg/m³
Uncorrected energy = -14.9 eV per cell

Structure (CIF):
```
data_Sr2AlRu
_chemical_formula_sum 'Sr2 Al1 Ru1'
_space_group_name_H-M_alt 'P 1'
_space_group_IT_number 1
_space_group_name_Hall 'P 1'
_cell_length_a 3.780
_cell_length_b 3.755
_cell_length_c 8.367
_cell_angle_alpha 63.34
_cell_angle_beta 90.00
_cell_angle_gamma 90.00
loop_
_atom_site_label
_atom_site_type_symbol
_atom_site_fract_x
_atom_site_fract_y
_atom_site_fract_z
Ru1 Ru 0.500 0.750 0.750
Sr1 Sr 0.000 0.023 0.977
Sr2 Sr 0.000 0.477 0.523
Al1 Al 0.500 0.250 0.250
```

# Sr2AlRu

A relaxed Sr2AlRu crystal (PBE-GGA, the Alexandria database).

E_form = 0.047 eV per atom
Density = 4.39 Mg/m³
Uncorrected energy = -16.2 eV per cell

Structure (CIF):
```
data_Sr2AlRu
_chemical_formula_sum 'Sr2 Al1 Ru1'
_space_group_name_H-M_alt 'P 1'
_space_group_IT_number 1
_space_group_name_Hall 'P 1'
_cell_length_a 6.458
_cell_length_b 6.458
_cell_length_c 6.458
_cell_angle_alpha 143.17
_cell_angle_beta 134.07
_cell_angle_gamma 60.26
loop_
_atom_site_label
_atom_site_type_symbol
_atom_site_fract_x
_atom_site_fract_y
_atom_site_fract_z
Sr1 Sr 0.731 0.231 0.500
Sr2 Sr 0.009 0.009 0.000
Ru1 Ru 0.323 0.823 0.500
Al1 Al 0.437 0.437 0.000
```

# SrAlRu2

A relaxed SrAlRu2 crystal (PBE-GGA, the Alexandria database).

E_form = 0.234 eV per atom
Density = 6.83 Mg/m³
Uncorrected energy = -23.0 eV per cell

Structure (CIF):
```
data_SrAlRu2
_chemical_formula_sum 'Sr1 Al1 Ru2'
_space_group_name_H-M_alt 'P 1'
_space_group_IT_number 1
_space_group_name_Hall 'P 1'
_cell_length_a 3.981
_cell_length_b 3.020
_cell_length_c 6.610
_cell_angle_alpha 75.66
_cell_angle_beta 90.00
_cell_angle_gamma 90.00
loop_
_atom_site_label
_atom_site_type_symbol
_atom_site_fract_x
_atom_site_fract_y
_atom_site_fract_z
Ru1 Ru 0.000 0.957 0.927
Ru2 Ru 0.000 0.543 0.573
Sr1 Sr 0.500 0.250 0.250
Al1 Al 0.500 0.750 0.750
```

# SrAl11Ru

A relaxed SrAl11Ru crystal (PBE-GGA, the Alexandria database).

E_form = -0.223 eV per atom
Density = 3.52 Mg/m³
Uncorrected energy = -55.0 eV per cell

Structure (CIF):
```
data_SrAl11Ru
_chemical_formula_sum 'Sr1 Al11 Ru1'
_space_group_name_H-M_alt 'P 1'
_space_group_IT_number 1
_space_group_name_Hall 'P 1'
_cell_length_a 5.260
_cell_length_b 7.248
_cell_length_c 6.910
_cell_angle_alpha 82.59
_cell_angle_beta 67.63
_cell_angle_gamma 70.19
loop_
_atom_site_label
_atom_site_type_symbol
_atom_site_fract_x
_atom_site_fract_y
_atom_site_fract_z
Ru1 Ru 0.500 0.500 0.000
Al1 Al 0.500 0.768 0.221
Al2 Al 0.721 0.768 0.779
Al3 Al 0.363 0.638 0.652
Al4 Al 0.500 0.000 0.500
Al5 Al 0.985 0.362 0.652
Al6 Al 0.000 0.000 0.500
Al7 Al 0.015 0.638 0.348
Al8 Al 0.500 0.232 0.779
Al9 Al 0.279 0.232 0.221
Al10 Al 0.637 0.362 0.348
Al11 Al 0.000 0.500 0.000
Sr1 Sr 0.000 0.000 0.000
```

# Sr2AlRu

A relaxed Sr2AlRu crystal (PBE-GGA, the Alexandria database).

E_form = -0.017 eV per atom
Density = 4.22 Mg/m³
Uncorrected energy = -16.4 eV per cell

Structure (CIF):
```
data_Sr2AlRu
_chemical_formula_sum 'Sr2 Al1 Ru1'
_space_group_name_H-M_alt 'P 1'
_space_group_IT_number 1
_space_group_name_Hall 'P 1'
_cell_length_a 4.276
_cell_length_b 4.761
_cell_length_c 6.321
_cell_angle_alpha 67.88
_cell_angle_beta 90.00
_cell_angle_gamma 90.00
loop_
_atom_site_label
_atom_site_type_symbol
_atom_site_fract_x
_atom_site_fract_y
_atom_site_fract_z
Ru1 Ru 0.500 0.577 0.722
Al1 Al 0.000 0.676 0.523
Sr1 Sr 0.500 0.263 0.348
Sr2 Sr 0.000 0.984 0.908
```

# Sr4AlRu

A relaxed Sr4AlRu crystal (PBE-GGA, the Alexandria database).

E_form = 1.057 eV per atom
Density = 3.97 Mg/m³
Uncorrected energy = -13.4 eV per cell

Structure (CIF):
```
data_Sr4AlRu
_chemical_formula_sum 'Sr4 Al1 Ru1'
_space_group_name_H-M_alt 'P 1'
_space_group_IT_number 1
_space_group_name_Hall 'P 1'
_cell_length_a 6.564
_cell_length_b 6.564
_cell_length_c 6.564
_cell_angle_alpha 60.00
_cell_angle_beta 60.00
_cell_angle_gamma 60.00
loop_
_atom_site_label
_atom_site_type_symbol
_atom_site_fract_x
_atom_site_fract_y
_atom_site_fract_z
Sr1 Sr 0.374 0.374 0.877
Sr2 Sr 0.374 0.877 0.374
Sr3 Sr 0.374 0.374 0.374
Sr4 Sr 0.877 0.374 0.374
Ru1 Ru 0.000 0.000 0.000
Al1 Al 0.750 0.750 0.750
```